1.
# MgFe2OsC | Alexandria via LeMat-Bulk | PBE-GGA | optimized geometry
data_MgFe2OsC
_chemical_formula_sum 'Mg1 Fe2 Os1 C1'
_cell_length_a 3.898
_cell_length_b 3.898
_cell_length_c 4.022
_cell_angle_alpha 90.00
_cell_angle_beta 90.00
_cell_angle_gamma 90.00
_space_group_name_H-M_alt 'P 4/m m m'
_space_group_IT_number 123
_space_group_name_Hall '-P 4 2'
loop_
_atom_site_label
_atom_site_type_symbol
_atom_site_fract_x
_atom_site_fract_y
_atom_site_fract_z
_atom_site_occupancy
Mg1 Mg 0.000 0.000 0.000 1
Fe1 Fe 0.000 0.500 0.500 1
Os1 Os 0.500 0.500 0.000 1
C1 C 0.500 0.500 0.500 1
# **DFT formation energy**: 0.0891 eV/atom
# **Energy**: -7.7057 eV per atom

---

2.
# MgFe2PdC | Alexandria via LeMat-Bulk | PBE-GGA | optimized geometry
data_MgFe2PdC
_chemical_formula_sum 'Mg1 Fe2 Pd1 C1'
_cell_length_a 4.843
_cell_length_b 4.843
_cell_length_c 3.805
_cell_angle_alpha 90.00
_cell_angle_beta 90.00
_cell_angle_gamma 90.00
_space_group_name_H-M_alt 'P 4/m m m'
_space_group_IT_number 123
_space_group_name_Hall '-P 4 2'
loop_
_atom_site_label
_atom_site_type_symbol
_atom_site_fract_x
_atom_site_fract_y
_atom_site_fract_z
_atom_site_occupancy
Mg1 Mg 0.000 0.000 0.000 1
Fe1 Fe 0.000 0.500 0.500 1
Pd1 Pd 0.500 0.500 0.500 1
C1 C 0.500 0.500 0.000 1
# **DFT formation energy**: 1.2937 eV/atom
# **Energy**: -5.2936 eV per atom
# **E above lowest polymorph**: 1280 meV per atom

---

3.
# MgFe2PdC | Alexandria via LeMat-Bulk | PBE-GGA | optimized geometry
data_MgFe2PdC
_chemical_formula_sum 'Mg1 Fe2 Pd1 C1'
_cell_length_a 3.746
_cell_length_b 3.746
_cell_length_c 4.411
_cell_angle_alpha 90.00
_cell_angle_beta 90.00
_cell_angle_gamma 90.00
_space_group_name_H-M_alt 'P 4/m m m'
_space_group_IT_number 123
_space_group_name_Hall '-P 4 2'
loop_
_atom_site_label
_atom_site_type_symbol
_atom_site_fract_x
_atom_site_fract_y
_atom_site_fract_z
_atom_site_occupancy
Mg1 Mg 0.000 0.000 0.000 1
Fe1 Fe 0.000 0.500 0.500 1
Pd1 Pd 0.500 0.500 0.000 1
C1 C 0.000 0.000 0.500 1
# **DFT formation energy**: 0.0134 eV/atom
# **Energy**: -6.5739 eV per atom
# **E above lowest polymorph**: 0 meV per atom

---

4.
# PmMgFeC | Alexandria via LeMat-Bulk | PBE-GGA | optimized geometry
data_PmMgFeC
_chemical_formula_sum 'Pm2 Mg2 Fe2 C2'
_cell_length_a 3.613
_cell_length_b 3.613
_cell_length_c 10.703
_cell_angle_alpha 90.00
_cell_angle_beta 90.00
_cell_angle_gamma 90.00
_space_group_name_H-M_alt 'P 4/n m m'
_space_group_IT_number 129
loop_
_space_group_symop_operation_xyz
'x,y,z'
'-x,-y,-z'
'-y+1/2,x,z'
'y+1/2,-x,-z'
'-x+1/2,-y+1/2,z'
'x+1/2,y+1/2,-z'
'y,-x+1/2,z'
'-y,x+1/2,-z'
'x+1/2,-y,-z'
'-x+1/2,y,z'
'-y,-x,-z'
'y,x,z'
'-x,y+1/2,-z'
'x,-y+1/2,z'
'y+1/2,x+1/2,-z'
'-y+1/2,-x+1/2,z'
loop_
_atom_site_label
_atom_site_type_symbol
_atom_site_fract_x
_atom_site_fract_y
_atom_site_fract_z
_atom_site_occupancy
Pm1 Pm 0.250 0.250 0.210 1
Mg1 Mg 0.250 0.750 0.500 1
Fe1 Fe 0.250 0.750 0.000 1
C1 C 0.250 0.250 0.921 1
# **DFT formation energy**: 0.0558 eV/atom
# **Energy**: -5.9521 eV per atom

---

5.
# Pm2MgFeC | Alexandria via LeMat-Bulk | PBE-GGA | optimized geometry
data_Pm2MgFeC
_chemical_formula_sum 'Pm2 Mg1 Fe1 C1'
_cell_length_a 5.238
_cell_length_b 5.238
_cell_length_c 3.721
_cell_angle_alpha 90.00
_cell_angle_beta 90.00
_cell_angle_gamma 90.00
_space_group_name_H-M_alt 'P 4/m m m'
_space_group_IT_number 123
_space_group_name_Hall '-P 4 2'
loop_
_atom_site_label
_atom_site_type_symbol
_atom_site_fract_x
_atom_site_fract_y
_atom_site_fract_z
_atom_site_occupancy
Pm1 Pm 0.000 0.500 0.000 1
Mg1 Mg 0.000 0.000 0.500 1
Fe1 Fe 0.500 0.500 0.500 1
C1 C 0.500 0.500 0.000 1
# **DFT formation energy**: -0.1153 eV/atom
# **Energy**: -5.8718 eV per atom

---

6.
# PrMgFeC | Alexandria via LeMat-Bulk | PBE-GGA | optimized geometry
data_PrMgFeC
_chemical_formula_sum 'Pr2 Mg2 Fe2 C2'
_cell_length_a 3.624
_cell_length_b 3.624
_cell_length_c 10.937
_cell_angle_alpha 90.00
_cell_angle_beta 90.00
_cell_angle_gamma 90.00
_space_group_name_H-M_alt 'P 4/n m m'
_space_group_IT_number 129
loop_
_space_group_symop_operation_xyz
'x,y,z'
'-x,-y,-z'
'-y+1/2,x,z'
'y+1/2,-x,-z'
'-x+1/2,-y+1/2,z'
'x+1/2,y+1/2,-z'
'y,-x+1/2,z'
'-y,x+1/2,-z'
'x+1/2,-y,-z'
'-x+1/2,y,z'
'-y,-x,-z'
'y,x,z'
'-x,y+1/2,-z'
'x,-y+1/2,z'
'y+1/2,x+1/2,-z'
'-y+1/2,-x+1/2,z'
loop_
_atom_site_label
_atom_site_type_symbol
_atom_site_fract_x
_atom_site_fract_y
_atom_site_fract_z
_atom_site_occupancy
Pr1 Pr 0.250 0.250 0.211 1
Mg1 Mg 0.250 0.750 0.500 1
Fe1 Fe 0.250 0.750 0.000 1
C1 C 0.250 0.250 0.924 1
# **DFT formation energy**: 0.0673 eV/atom
# **Energy**: -5.9479 eV per atom

---

7.
# RbMgFe2C | Alexandria via LeMat-Bulk | PBE-GGA | optimized geometry
data_RbMgFe2C
_chemical_formula_sum 'Rb1 Mg1 Fe2 C1'
_cell_length_a 5.120
_cell_length_b 5.120
_cell_length_c 4.262
_cell_angle_alpha 90.00
_cell_angle_beta 90.00
_cell_angle_gamma 90.00
_space_group_name_H-M_alt 'P 4/m m m'
_space_group_IT_number 123
_space_group_name_Hall '-P 4 2'
loop_
_atom_site_label
_atom_site_type_symbol
_atom_site_fract_x
_atom_site_fract_y
_atom_site_fract_z
_atom_site_occupancy
Rb1 Rb 0.000 0.000 0.000 1
Mg1 Mg 0.500 0.500 0.500 1
Fe1 Fe 0.000 0.500 0.500 1
C1 C 0.500 0.500 0.000 1
# **DFT formation energy**: 1.9927 eV/atom
# **Energy**: -3.7496 eV per atom

---

8.
# MgFe2ReC | Alexandria via LeMat-Bulk | PBE-GGA | optimized geometry
data_MgFe2ReC
_chemical_formula_sum 'Mg1 Fe2 Re1 C1'
_cell_length_a 3.927
_cell_length_b 3.927
_cell_length_c 4.059
_cell_angle_alpha 90.00
_cell_angle_beta 90.00
_cell_angle_gamma 90.00
_space_group_name_H-M_alt 'P 4/m m m'
_space_group_IT_number 123
_space_group_name_Hall '-P 4 2'
loop_
_atom_site_label
_atom_site_type_symbol
_atom_site_fract_x
_atom_site_fract_y
_atom_site_fract_z
_atom_site_occupancy
Mg1 Mg 0.000 0.000 0.000 1
Fe1 Fe 0.000 0.500 0.500 1
Re1 Re 0.500 0.500 0.000 1
C1 C 0.500 0.500 0.500 1
# **DFT formation energy**: 0.1429 eV/atom
# **Energy**: -7.8955 eV per atom

---

9.
# MgFeRh2C | Alexandria via LeMat-Bulk | PBE-GGA | optimized geometry
data_MgFeRh2C
_chemical_formula_sum 'Mg1 Fe1 Rh2 C1'
_cell_length_a 4.105
_cell_length_b 4.105
_cell_length_c 3.813
_cell_angle_alpha 90.00
_cell_angle_beta 90.00
_cell_angle_gamma 90.00
_space_group_name_H-M_alt 'P 4/m m m'
_space_group_IT_number 123
_space_group_name_Hall '-P 4 2'
loop_
_atom_site_label
_atom_site_type_symbol
_atom_site_fract_x
_atom_site_fract_y
_atom_site_fract_z
_atom_site_occupancy
Mg1 Mg 0.000 0.000 0.000 1
Fe1 Fe 0.500 0.500 0.000 1
Rh1 Rh 0.000 0.500 0.500 1
C1 C 0.500 0.500 0.500 1
# **DFT formation energy**: -0.1617 eV/atom
# **Energy**: -6.9585 eV per atom

---

10.
# MgFeRu2C | Alexandria via LeMat-Bulk | PBE-GGA | optimized geometry
data_MgFeRu2C
_chemical_formula_sum 'Mg1 Fe1 Ru2 C1'
_cell_length_a 4.085
_cell_length_b 4.085
_cell_length_c 3.804
_cell_angle_alpha 90.00
_cell_angle_beta 90.00
_cell_angle_gamma 90.00
_space_group_name_H-M_alt 'P 4/m m m'
_space_group_IT_number 123
_space_group_name_Hall '-P 4 2'
loop_
_atom_site_label
_atom_site_type_symbol
_atom_site_fract_x
_atom_site_fract_y
_atom_site_fract_z
_atom_site_occupancy
Mg1 Mg 0.000 0.000 0.000 1
Fe1 Fe 0.500 0.500 0.000 1
Ru1 Ru 0.000 0.500 0.500 1
C1 C 0.500 0.500 0.500 1
# **DFT formation energy**: 0.0333 eV/atom
# **Energy**: -7.5332 eV per atom

---

11.
# Mg2FeCSe | Alexandria via LeMat-Bulk | PBE-GGA | optimized geometry
data_Mg2FeCSe
_chemical_formula_sum 'Mg2 Fe1 C1 Se1'
_cell_length_a 4.509
_cell_length_b 4.509
_cell_length_c 3.720
_cell_angle_alpha 90.00
_cell_angle_beta 90.00
_cell_angle_gamma 90.00
_space_group_name_H-M_alt 'P 4/m m m'
_space_group_IT_number 123
_space_group_name_Hall '-P 4 2'
loop_
_atom_site_label
_atom_site_type_symbol
_atom_site_fract_x
_atom_site_fract_y
_atom_site_fract_z
_atom_site_occupancy
Mg1 Mg 0.000 0.500 0.000 1
Fe1 Fe 0.000 0.000 0.500 1
C1 C 0.000 0.000 0.000 1
Se1 Se 0.500 0.500 0.500 1
# **Energy**: -4.9514 eV per atom

---

12.
# Sm2MgFeC | Alexandria via LeMat-Bulk | PBE-GGA | optimized geometry
data_Sm2MgFeC
_chemical_formula_sum 'Sm2 Mg1 Fe1 C1'
_cell_length_a 5.200
_cell_length_b 5.200
_cell_length_c 3.719
_cell_angle_alpha 90.00
_cell_angle_beta 90.00
_cell_angle_gamma 90.00
_space_group_name_H-M_alt 'P 4/m m m'
_space_group_IT_number 123
_space_group_name_Hall '-P 4 2'
loop_
_atom_site_label
_atom_site_type_symbol
_atom_site_fract_x
_atom_site_fract_y
_atom_site_fract_z
_atom_site_occupancy
Sm1 Sm 0.000 0.500 0.000 1
Mg1 Mg 0.000 0.000 0.500 1
Fe1 Fe 0.500 0.500 0.500 1
C1 C 0.500 0.500 0.000 1
# **DFT formation energy**: -0.1294 eV/atom
# **Energy**: -5.8733 eV per atom

---

| no. | spin magnetization (μB per formula unit) |
| --- | --- |
| 1 | 4.0 |
| 2 | 6.2 |
| 3 | 3.3 |
| 4 | 0.0 |
| 5 | 0.2 |
| 6 | 0.0 |
| 7 | 6.3 |
| 8 | 4.6 |
| 9 | 2.0 |
| 10 | 2.0 |
| 11 | 1.4 |
| 12 | 0.2 |